No. 1
LuS2BrCl, optimized geometry, DFT PBE; magnetic moment = 0.00 μB/f.u.; DFT total energy = -4.6471 eV/atom
1.0
7.052 0.000 0.000
3.369 6.540 0.000
2.252 -0.038 7.353
Br Cl Lu S
2 2 2 4
direct
0.433 0.547 0.241
0.567 0.453 0.759
0.980 0.459 0.223
0.020 0.541 0.777
0.165 0.661 0.000
0.835 0.339 0.000
0.748 0.998 0.057
0.907 0.000 0.232
0.093 0.000 0.768
0.252 0.002 0.943



No. 2
TbErBe, optimized geometry, DFT PBE; magnetic moment = 0.00 μB/f.u.; DFT total energy = -3.3539 eV/atom
1.0
0.000 3.350 3.350
3.350 0.000 3.350
3.350 3.350 0.000
Be Er Tb
1 1 1
direct
0.250 0.250 0.250
0.000 0.000 0.000
0.750 0.750 0.750



No. 3
Dy2NiN3, optimized geometry, DFT PBE; magnetic moment = 0.92 μB/f.u.; DFT total energy = -7.6407 eV/atom
1.0
-1.684 1.812 6.126
1.684 -1.812 6.126
1.684 1.812 -6.126
Dy N Ni
2 3 1
direct
0.351 0.351 0.000
0.649 0.649 0.000
0.163 0.163 0.000
0.837 0.837 0.000
0.500 0.000 0.500
0.000 0.000 0.000



No. 4
Li2Hf2AlGaIr2, optimized geometry, DFT PBE; magnetic moment = 0.08 μB/f.u.; DFT total energy = -6.7297 eV/atom
1.0
4.441 0.000 0.000
0.000 4.441 0.000
0.000 0.000 6.284
Al Ga Hf Ir Li
1 1 2 2 2
direct
0.000 0.000 0.000
0.500 0.500 0.500
0.500 0.500 0.000
0.000 0.000 0.500
0.000 0.500 0.246
0.500 0.000 0.754
0.500 0.000 0.251
0.000 0.500 0.749



No. 5
W2N, optimized geometry, DFT PBE; magnetic moment = 0.00 μB/f.u.; DFT total energy = -8.8969 eV/atom
1.0
0.000 3.650 3.650
3.650 0.000 3.650
3.650 3.650 0.000
N W
2 4
direct
0.000 0.000 0.000
0.250 0.250 0.250
0.625 0.625 0.125
0.625 0.125 0.625
0.125 0.625 0.625
0.625 0.625 0.625



No. 6
Co3PPb, optimized geometry, DFT PBE; magnetic moment = 3.09 μB/f.u.; DFT total energy = -5.8802 eV/atom
1.0
-4.145 -0.611 0.050
0.196 -1.647 -3.848
0.581 -3.804 1.658
Co P Pb
3 1 1
direct
0.500 0.500 0.000
0.500 0.000 0.500
0.000 0.500 0.500
0.500 0.500 0.500
0.000 0.000 0.000



No. 7
Lu2Hf4Au3C3, optimized geometry, DFT PBE; magnetic moment = 0.01 μB/f.u.; DFT total energy = -7.8887 eV/atom
1.0
1.950 3.679 -4.034
-3.104 4.698 -1.378
7.195 4.608 11.922
Au C Hf Lu
6 6 8 4
direct
0.585 0.835 0.250
0.005 0.995 0.250
0.165 0.415 0.250
0.835 0.585 0.750
0.995 0.005 0.750
0.415 0.165 0.750
0.500 0.000 0.000
0.154 0.673 0.000
0.327 0.846 0.500
0.000 0.500 0.500
0.673 0.154 0.500
0.846 0.327 0.000
0.203 0.019 0.083
0.854 0.693 0.084
0.307 0.146 0.416
0.981 0.797 0.417
0.019 0.203 0.583
0.693 0.854 0.584
0.146 0.307 0.916
0.797 0.981 0.917
0.537 0.375 0.110
0.625 0.463 0.390
0.375 0.537 0.610
0.463 0.625 0.890



No. 8
TbB4Mo, optimized geometry, DFT PBE; polymorph energy (0 for the lowest one) = 176.0 meV/atom; magnetic moment = 0.00 μB/f.u.
1.0
0.908 -2.989 3.577
-4.047 -2.469 -0.275
3.974 0.860 -2.453
B Mo Tb
4 1 1
direct
0.590 0.253 0.337
0.085 0.747 0.337
0.915 0.253 0.663
0.410 0.747 0.663
0.000 0.000 0.000
0.500 0.500 0.000



No. 9
Lu2Ge3W4C3, optimized geometry, DFT PBE; magnetic moment = 0.00 μB/f.u.; DFT total energy = -8.7662 eV/atom
1.0
5.562 0.000 0.000
2.756 4.831 0.000
2.772 1.610 13.125
C Ge Lu W
6 6 4 8
direct
0.668 0.163 0.000
0.000 0.500 0.000
0.332 0.837 0.000
0.837 0.332 0.500
0.500 0.000 0.500
0.163 0.668 0.500
0.588 0.838 0.250
0.012 0.988 0.250
0.162 0.412 0.250
0.838 0.588 0.750
0.988 0.012 0.750
0.412 0.162 0.750
0.624 0.462 0.114
0.538 0.376 0.386
0.462 0.624 0.614
0.376 0.538 0.886
0.306 0.151 0.079
0.984 0.799 0.080
0.201 0.016 0.420
0.849 0.694 0.421
0.151 0.306 0.579
0.799 0.984 0.580
0.016 0.201 0.920
0.694 0.849 0.921



No. 10
GdGa2Pt2, optimized geometry, DFT PBE; magnetic moment = 0.01 μB/f.u.; DFT total energy = -5.4853 eV/atom
1.0
-0.385 -4.506 4.546
-4.590 -4.440 0.573
4.026 2.669 -4.217
Ga Gd Pt
2 1 2
direct
0.750 0.250 0.500
0.250 0.750 0.500
0.000 0.000 0.000
0.384 0.384 0.000
0.616 0.616 0.000



No. 11
ZnCoCuAs, optimized geometry, DFT PBE; polymorph energy (0 for the lowest one) = 0.0 meV/atom; magnetic moment = 0.00 μB/f.u.
1.0
0.000 2.960 2.960
2.960 0.000 2.960
2.960 2.960 0.000
As Co Cu Zn
1 1 1 1
direct
0.250 0.250 0.250
0.500 0.500 0.500
0.000 0.000 0.000
0.750 0.750 0.750



No. 12
UNi2B2C, optimized geometry, DFT PBE; magnetic moment = 1.13 μB/f.u.; DFT total energy = -7.8795 eV/atom
1.0
1.079 -4.229 3.856
2.691 0.248 5.159
-4.044 2.446 -3.403
B C Ni U
2 1 2 1
direct
0.357 0.357 0.000
0.643 0.643 0.000
0.500 0.500 0.000
0.750 0.250 0.500
0.250 0.750 0.500
0.000 0.000 0.000



Question: What is the magnetic moment in the third record?
Answer: 0.92 μB/f.u.



Question: What is the magnetic moment in the fifth record?
Answer: 0.00 μB/f.u.



Question: What is the magnetic moment in the tenth record?
Answer: 0.01 μB/f.u.